meta-GGA SCAN InGaSn2, single point on PBEsol structure; energy relative to the elements = 197 meV/atom; symmetry = No. 225; E = -30.1968 eV per atom; volume = 96.1 Å³ per cell
1.0
5.1413 0.0000 0.0000
2.5707 4.4525 0.0000
2.5707 1.4842 4.1979
Sn Ga In
2 1 1
Cartesian
2.5707 1.4842 1.0495
7.7120 4.4525 3.1484
0.0000 0.0000 0.0000
5.1413 2.9684 2.0989